# ZnSe GGA-PBE relaxed
data_ZnSe
_chemical_formula_sum 'Zn6 Se6'
_symmetry_space_group_name_H-M 'P m m n'
_symmetry_Int_Tables_number 59
_cell_length_a 4.0571
_cell_length_b 12.5272
_cell_length_c 6.0720
_cell_angle_alpha 90.00
_cell_angle_beta 90.00
_cell_angle_gamma 90.00
loop_
_symmetry_equiv_pos_as_xyz
'x,y,z'
'-x,-y,-z'
'-x+1/2,-y+1/2,z'
'x+1/2,y+1/2,-z'
'x+1/2,-y,-z'
'-x+1/2,y,z'
'-x,y+1/2,-z'
'x,-y+1/2,z'
loop_
_atom_site_label
_atom_site_fract_x
_atom_site_fract_y
_atom_site_fract_z
Zn1 0.2500 0.1056 0.0729
Zn2 0.2500 0.7500 0.4201
Se1 0.2500 0.2500 0.3473
Se2 0.2500 0.5955 0.1621
# E_form (uncorrected) (kcal/mol of atoms): -14.50
# Raw total energy (eV/atom): -3.0082